Entry 1:
{"formula": "Pr2Sm2DyHo4", "functional": "PBE-GGA", "state": "optimized geometry", "dos_ef_per_ev_atom": 1.361, "formation_enthalpy_0k_ev_per_atom": 0.00, "vol_a3_per_cell": 295.6, "space_group": "C2/m", "cell": [[-0.419, 1.633, -3.208], [-8.998, 0.082, 3.264], [5.524, 7.302, 2.995]], "species": ["Ho", "Ho", "Ho", "Ho", "Dy", "Sm", "Sm", "Pr", "Pr"], "frac_coords": [[0.519, 0.039, 0.333], [0.185, 0.370, 0.337], [0.815, 0.630, 0.663], [0.481, 0.961, 0.667], [0.000, 0.000, 0.000], [0.147, 0.294, 0.662], [0.853, 0.706, 0.338], [0.335, 0.670, 0.999], [0.665, 0.330, 0.001]]}



Entry 2:
{"formula": "PrSm2DyHo4", "functional": "PBE-GGA", "state": "optimized geometry", "dos_ef_per_ev_atom": 2.260, "formation_enthalpy_0k_ev_per_atom": 0.42, "vol_a3_per_cell": 535.1, "space_group": "Imma", "cell": [[9.367, -0.022, -1.705], [-0.029, 9.367, -1.705], [-5.962, -5.966, 8.277]], "species": ["Ho", "Ho", "Ho", "Ho", "Ho", "Ho", "Ho", "Ho", "Dy", "Dy", "Sm", "Sm", "Sm", "Sm", "Pr", "Pr"], "frac_coords": [[0.750, 0.751, 0.503], [0.248, 0.753, 0.001], [0.251, 0.250, 0.003], [0.253, 0.748, 0.501], [0.749, 0.750, 0.997], [0.250, 0.249, 0.497], [0.747, 0.252, 0.499], [0.752, 0.247, 0.999], [0.500, 0.500, 0.500], [0.000, 0.000, 0.000], [0.500, 0.000, 0.000], [0.000, 0.000, 0.500], [0.500, 0.500, 0.000], [0.500, 0.000, 0.500], [0.000, 0.500, 0.000], [0.000, 0.500, 0.500]]}



Entry 3:
{"formula": "PrSm6Dy3Ho2", "functional": "PBE-GGA", "state": "optimized geometry", "dos_ef_per_ev_atom": 1.261, "formation_enthalpy_0k_ev_per_atom": 0.02, "vol_a3_per_cell": 394.1, "space_group": "C2/m", "cell": [[6.230, 0.000, 0.012], [-3.113, 5.396, 0.012], [-1.060, -1.835, 11.715]], "species": ["Sm", "Sm", "Sm", "Sm", "Sm", "Sm", "Dy", "Dy", "Dy", "Ho", "Ho", "Pr"], "frac_coords": [[0.250, 0.250, 0.749], [0.916, 0.581, 0.749], [0.750, 0.750, 0.251], [0.084, 0.419, 0.251], [0.419, 0.084, 0.251], [0.581, 0.916, 0.749], [0.167, 0.833, 0.500], [0.833, 0.167, 0.500], [0.500, 0.500, 0.500], [0.667, 0.333, 0.000], [0.333, 0.667, 0.000], [0.000, 0.000, 0.000]]}



Entry 4:
{"formula": "PrSm2Dy6Ho3", "functional": "PBE-GGA", "state": "optimized geometry", "dos_ef_per_ev_atom": 1.299, "formation_enthalpy_0k_ev_per_atom": 0.02, "vol_a3_per_cell": 384.3, "space_group": "C2/m", "cell": [[-5.404, 2.415, 1.765], [0.703, -6.131, -0.254], [5.150, 1.186, 10.558]], "species": ["Sm", "Sm", "Dy", "Dy", "Dy", "Dy", "Dy", "Dy", "Pr", "Ho", "Ho", "Ho"], "frac_coords": [[0.667, 0.333, 0.000], [0.333, 0.667, 0.000], [0.915, 0.581, 0.746], [0.581, 0.915, 0.746], [0.085, 0.419, 0.254], [0.249, 0.249, 0.746], [0.419, 0.085, 0.254], [0.751, 0.751, 0.254], [0.000, 0.000, 0.000], [0.833, 0.167, 0.500], [0.500, 0.500, 0.500], [0.167, 0.833, 0.500]]}